No. 1
# Ti2Se3 (PBE, relaxed)
data_Ti2Se3
_chemical_formula_sum 'Ti8 Se12'
_symmetry_space_group_name_H-M 'P -3 1 c'
_symmetry_Int_Tables_number 163
_symmetry_space_group_name_Hall '-P 3 2c'
_cell_length_a 6.2387
_cell_length_b 6.2387
_cell_length_c 12.0903
_cell_angle_alpha 90.00
_cell_angle_beta 90.00
_cell_angle_gamma 120.00
loop_
_atom_site_label
_atom_site_fract_x
_atom_site_fract_y
_atom_site_fract_z
Ti1 0.0000 0.0000 0.0000
Ti2 0.3333 0.6667 0.0053
Ti3 0.3333 0.6667 0.2500
Se1 0.0068 0.3333 0.6287
# - ΔE_f (raw): -1.176 eV per atom

No. 2
# NbTl2CoPd (PBE, relaxed)
data_NbTl2CoPd
_chemical_formula_sum 'Nb1 Tl2 Co1 Pd1'
_symmetry_space_group_name_H-M 'P 4/m m m'
_symmetry_Int_Tables_number 123
_symmetry_space_group_name_Hall '-P 4 2'
_cell_length_a 5.494
_cell_length_b 5.494
_cell_length_c 4.352
_cell_angle_alpha 90.00
_cell_angle_beta 90.00
_cell_angle_gamma 90.00
loop_
_atom_site_label
_atom_site_fract_x
_atom_site_fract_y
_atom_site_fract_z
Nb1 0.000 0.000 0.000
Tl1 0.000 0.500 0.000
Co1 0.000 0.000 0.500
Pd1 0.500 0.500 0.500
# - Final energy: -21.3 eV for the cell shown

No. 3
# Gd3TmCo (PBE, relaxed)
data_Gd3TmCo
_chemical_formula_sum 'Gd3 Tm1 Co1'
_symmetry_space_group_name_H-M 'P m -3 m'
_symmetry_Int_Tables_number 221
_symmetry_space_group_name_Hall '-P 4 2 3'
_cell_length_a 5.298
_cell_length_b 5.298
_cell_length_c 5.298
_cell_angle_alpha 90.00
_cell_angle_beta 90.00
_cell_angle_gamma 90.00
loop_
_atom_site_label
_atom_site_fract_x
_atom_site_fract_y
_atom_site_fract_z
Gd1 0.000 0.000 0.500
Tm1 0.500 0.500 0.500
Co1 0.000 0.000 0.000
# - Final energy: -53.7 eV for the cell shown